# 1
Compound: MgHgW2
Source: Alexandria
Functional: meta-GGA SCAN
Structure: PBEsol geometry

POSCAR file:
```
MgHgW2
1.0
-2.282 2.282 3.242
2.282 -2.282 3.242
2.282 2.282 -3.242
Mg Hg W
1 1 2
direct
0.000 0.000 0.000 Mg
0.250 0.750 0.500 Hg
0.500 0.500 0.000 W
0.750 0.250 0.500 W
```

- DOS at the Fermi energy: 2.1 states/eV/f.u.
- Calculated total energy: -210.1 eV per cell
- Crystal system: tetragonal
- ΔE to the lowest computed polymorph: 0.085 eV per atom
- Size of the total moment: 0.000 μB per formula unit
- Formation energy: 2.4 eV/f.u.

=====

# 2
Compound: Mg2HgW
Source: Alexandria
Functional: meta-GGA SCAN
Structure: PBEsol geometry

POSCAR file:
```
Mg2HgW
1.0
2.837 0.000 0.000
0.000 4.858 0.000
0.000 0.000 5.317
Mg Hg W
2 1 1
direct
0.000 0.000 0.000 Mg
0.000 0.500 0.323 Mg
0.500 0.500 0.794 Hg
0.500 0.000 0.499 W
```

- DOS at the Fermi energy: 2.4 states/eV/f.u.
- Calculated total energy: -146.2 eV per cell
- Crystal system: orthorhombic
- ΔE to the lowest computed polymorph: 0.049 eV per atom
- Size of the total moment: 0.000 μB per formula unit
- Formation energy: 1.6 eV/f.u.

=====

# 3
Compound: Mg2HgW
Source: Alexandria
Functional: meta-GGA SCAN
Structure: PBEsol geometry

POSCAR file:
```
Mg2HgW
1.0
2.904 -4.708 0.000
2.904 4.708 0.000
-1.042 0.000 2.635
Mg Hg W
2 1 1
direct
0.000 0.500 0.000 Mg
0.500 0.000 0.000 Mg
0.000 0.000 0.500 Hg
0.500 0.500 0.500 W
```

- DOS at the Fermi energy: 1.2 states/eV/f.u.
- Calculated total energy: -146.4 eV per cell
- Crystal system: monoclinic
- ΔE to the lowest computed polymorph: 0.000 eV per atom
- Size of the total moment: 0.000 μB per formula unit
- Formation energy: 1.4 eV/f.u.

=====

Which value of DOS at the Fermi energy does entry 3 give? 1.2 states/eV/f.u.

=====

Which value of calculated total energy does entry 3 give? -146.4 eV per cell